This record from OQMD via LeMat-Bulk describes a relaxed structure of CdAs2Pd. The functional is GGA-PBE.

Calculated values
Uncorrected energy ... -14.9 eV for the cell shown
Density ... 8.1 g/cm³

Cell lengths 4.749, 4.749, 4.749 Å; angles 60.00, 60.00, 60.00 degrees
Atoms (fractional coordinates):
Cd (0.000, 0.000, 0.000)
As (0.250, 0.250, 0.250)
As (0.500, 0.500, 0.500)
Pd (0.750, 0.750, 0.750)